TiZnAgSe2, relaxed, DFT PBE; uncorrected formation energy = 790 meV per atom
1.0
5.0145 0.0000 0.0000
0.0000 5.0145 0.0000
0.0000 0.0000 5.1103
Ti Zn Ag Se
1 1 1 2
direct
0.0000 0.0000 0.0000
0.5000 0.5000 0.0000
0.0000 0.0000 0.5000
0.0000 0.5000 0.5000
0.5000 0.0000 0.5000

---

Sc2Co4Pd, relaxed, DFT PBE; formation energy from the elements = 0.772 eV/atom
1.0
-2.2388 2.2388 6.4798
2.2388 -2.2388 6.4798
2.2388 2.2388 -6.4798
Sc Co Pd
2 4 1
direct
0.1260 0.1260 0.0000
0.8740 0.8740 0.0000
0.0000 0.5000 0.5000
0.3102 0.3102 0.0000
0.5000 0.0000 0.5000
0.6898 0.6898 0.0000
0.5000 0.5000 0.0000

---

Tb4Nd3Dy4, relaxed, DFT PBE; polymorph energy (0 for the lowest one) = 14 meV per atom; formation energy from the elements = 0.170 eV/atom
1.0
-1.7748 5.6502 9.2615
1.7748 -5.6502 9.2615
1.7748 5.6502 -9.2615
Tb Nd Dy
4 3 4
direct
0.0711 0.8288 0.2423
0.4135 0.1712 0.2423
0.5865 0.8288 0.7577
0.9289 0.1712 0.7577
0.0000 0.5000 0.5000
0.3930 0.3930 0.0000
0.6070 0.6070 0.0000
0.2205 0.7205 0.5000
0.2878 0.0000 0.2878
0.7122 0.0000 0.7122
0.7795 0.2795 0.5000

---

Rb3HoTh3S8, relaxed, DFT PBE; uncorrected formation energy = -1768 meV per atom
1.0
4.1038 2.3693 7.8911
-4.1038 2.3693 7.8911
0.0000 -4.7386 7.8911
Rb Ho Th S
3 1 3 8
direct
0.0000 0.5000 0.5000
0.5000 0.0000 0.5000
0.5000 0.5000 0.0000
0.5000 0.5000 0.5000
0.0000 0.0000 0.5000
0.0000 0.5000 0.0000
0.5000 0.0000 0.0000
0.2347 0.2347 0.2347
0.2368 0.7269 0.7269
0.2731 0.2731 0.7632
0.2731 0.7632 0.2731
0.7269 0.2368 0.7269
0.7269 0.7269 0.2368
0.7632 0.2731 0.2731
0.7653 0.7653 0.7653

---

CdBP2, relaxed, DFT PBE; polymorph energy (0 for the lowest one) = 0 meV per atom; formation energy from the elements = 0.083 eV/atom
1.0
-2.7381 2.7381 4.6038
2.7381 -2.7381 4.6038
2.7381 2.7381 -4.6038
Cd B P
2 2 4
direct
0.0000 0.0000 0.0000
0.7500 0.2500 0.5000
0.2500 0.7500 0.5000
0.5000 0.5000 0.0000
0.2121 0.6250 0.0871
0.3750 0.4621 0.5871
0.5379 0.1250 0.9129
0.8750 0.7879 0.4129

---

AcDy3, relaxed, DFT PBE; polymorph energy (0 for the lowest one) = 8 meV per atom; formation energy from the elements = 0.056 eV/atom
1.0
-1.8758 5.8336 3.1699
1.8758 -5.8336 3.1699
1.8758 5.8336 -3.1699
Ac Dy
1 3
direct
0.0000 0.0000 0.0000
0.1050 0.3495 0.7554
0.5084 0.0084 0.5000
0.5941 0.3495 0.2446

---

K2ScHg, relaxed, DFT PBE; polymorph energy (0 for the lowest one) = 99 meV per atom; formation energy from the elements = 0.128 eV/atom
1.0
4.8132 -1.9690 0.0000
4.8132 1.9690 0.0000
-2.5950 0.0000 9.5224
K Sc Hg
2 1 1
direct
0.0000 0.0000 0.0000
0.1613 0.1613 0.6020
0.3686 0.3686 0.3010
0.6613 0.6613 0.3011

---

Li5IrN2Cl, relaxed, DFT PBE; uncorrected formation energy = -600 meV per atom
1.0
4.1793 0.0000 0.0000
0.0000 4.1793 0.0000
0.0000 0.0000 7.6370
Li Ir N Cl
5 1 2 1
direct
0.0000 0.0000 0.0000
0.0000 0.5000 0.2713
0.0000 0.5000 0.7287
0.5000 0.0000 0.2713
0.5000 0.0000 0.7287
0.0000 0.0000 0.5000
0.0000 0.0000 0.2567
0.0000 0.0000 0.7433
0.5000 0.5000 0.0000

---

LiErAsO4, relaxed, DFT PBE; uncorrected formation energy = -2099 meV per atom
1.0
-3.2641 3.3775 4.0863
3.2641 -3.3775 4.0863
3.2641 3.3775 -4.0863
Li Er As O
2 2 2 8
direct
0.5000 0.0000 0.0000
0.5000 0.5000 0.5000
0.0000 0.0000 0.0000
0.5000 0.0000 0.5000
0.1518 0.4018 0.7500
0.8482 0.5982 0.2500
0.1900 0.7255 0.4644
0.2389 0.2745 0.9644
0.2642 0.2389 0.4747
0.2642 0.7895 0.0253
0.7358 0.2105 0.9747
0.7358 0.7611 0.5253
0.7611 0.7255 0.0356
0.8101 0.2745 0.5356

---

Er8ZnCo2, relaxed, DFT PBE; polymorph energy (0 for the lowest one) = 0 meV per atom; formation energy from the elements = -0.145 eV/atom
1.0
8.5566 -2.4565 0.0000
8.5566 2.4565 0.0000
-1.9698 0.0000 6.3990
Er Zn Co
8 1 2
direct
0.0387 0.0387 0.2800
0.1999 0.1999 0.8254
0.3239 0.3239 0.5211
0.4037 0.4037 0.0282
0.5963 0.5963 0.9718
0.6761 0.6761 0.4789
0.8001 0.8001 0.1746
0.9613 0.9613 0.7200
0.5000 0.5000 0.5000
0.1870 0.1870 0.2097
0.8130 0.8130 0.7903

---

Ac3BSe6, relaxed, DFT PBE; uncorrected formation energy = -1497 meV per atom
1.0
5.9592 -7.3560 0.0000
5.9592 7.3560 0.0000
0.0000 0.0000 7.0475
Ac B Se
6 2 12
direct
0.1085 0.8915 0.5000
0.2126 0.4199 0.4307
0.4199 0.2126 0.9307
0.5801 0.7874 0.4307
0.7874 0.5801 0.9307
0.8915 0.1085 0.0000
0.3077 0.6923 0.8757
0.6923 0.3077 0.3757
0.1047 0.6081 0.7543
0.1391 0.1793 0.7120
0.1793 0.1391 0.2120
0.2942 0.7058 0.1759
0.3919 0.8953 0.7543
0.4440 0.5560 0.7712
0.5560 0.4440 0.2712
0.6081 0.1047 0.2543
0.7058 0.2942 0.6759
0.8207 0.8609 0.7120
0.8609 0.8207 0.2120
0.8953 0.3919 0.2543

---

Tm3Si2BRu3, relaxed, DFT PBE; uncorrected formation energy = -650 meV per atom
1.0
6.9869 0.0000 0.0000
-3.4934 6.0508 0.0000
0.0000 0.0000 3.4860
Tm Si B Ru
3 2 1 3
direct
0.0000 0.6203 0.0000
0.3797 0.3797 0.0000
0.6203 0.0000 0.0000
0.3333 0.6667 0.5000
0.6667 0.3333 0.5000
0.0000 0.0000 0.0000
0.0000 0.2342 0.5000
0.2342 0.0000 0.5000
0.7658 0.7658 0.5000

---

Number 1: DOS(E_F) 1.595 states/eV/atom. Number 2: DOS(E_F) 1.638 states/eV/atom. Number 3: DOS(E_F) 1.303 states/eV/atom. Number 4: DOS(E_F) 0.657 states/eV/atom. Number 5: DOS(E_F) 0.612 states/eV/atom. Number 6: DOS(E_F) 1.647 states/eV/atom. Number 7: DOS(E_F) 0.869 states/eV/atom. Number 8: DOS(E_F) 0.562 states/eV/atom. Number 9: DOS(E_F) 0.314 states/eV/atom. Number 10: DOS(E_F) 1.162 states/eV/atom. Number 11: DOS(E_F) 0.000 states/eV/atom. Number 12: DOS(E_F) 0.287 states/eV/atom.